Entry 1:
V4S5: optimized geometry, PBE.

Results
E = -7.098 eV/atom
space group = No. 87
DOS(E_F) = 5.62 states/eV/cell

a = 4.744 Å, b = 5.981 Å, c = 5.981 Å
α = 80.95°, β = 66.64°, γ = 66.64°
Site moments in Bohr magnetons follow the coordinates.
Fractional coordinates of all 9 atoms:
V1 0.230 0.154 0.385  1.40
V2 0.616 0.615 0.154  1.40
V3 0.770 0.846 0.615  1.40
V4 0.384 0.385 0.846  1.40
S1 0.908 0.413 0.771  -0.06
S2 0.092 0.587 0.229  -0.06
S3 0.679 0.229 0.413  -0.06
S4 0.500 0.000 0.000  -0.11
S5 0.321 0.771 0.587  -0.06

=====

Entry 2:
VS2: optimized geometry, PBE.

Results
E = -6.561 eV/atom
space group = No. 141
DOS(E_F) = 10.04 states/eV/cell

a = 6.612 Å, b = 6.612 Å, c = 6.619 Å
α = 60.03°, β = 60.03°, γ = 89.99°
Site moments in Bohr magnetons follow the coordinates.
Fractional coordinates of all 12 atoms:
S1 0.247 0.752 0.496  -0.01
S2 0.248 0.753 0.004  -0.01
S3 0.248 0.244 0.004  -0.01
S4 0.752 0.756 0.996  -0.01
S5 0.756 0.752 0.496  -0.01
S6 0.244 0.248 0.504  -0.01
S7 0.753 0.248 0.504  -0.01
S8 0.752 0.247 0.996  -0.01
V1 0.500 0.500 0.000  0.12
V2 0.500 0.500 0.500  0.12
V3 0.000 0.500 0.000  0.23
V4 0.500 0.000 0.500  0.23

=====

Entry 3:
VS2: optimized geometry, PBE.

Results
E = -6.661 eV/atom
space group = No. 194
DOS(E_F) = 1.57 states/eV/cell

a = 3.178 Å, b = 3.178 Å, c = 12.935 Å
α = 90.00°, β = 90.00°, γ = 120.00°
Site moments in Bohr magnetons follow the coordinates.
Fractional coordinates of all 6 atoms:
S1 0.667 0.333 0.365  -0.04
S2 0.333 0.667 0.635  -0.04
S3 0.667 0.333 0.135  -0.04
S4 0.333 0.667 0.865  -0.04
V1 0.667 0.333 0.750  0.84
V2 0.333 0.667 0.250  0.84

=====

Entry 4:
V5S: optimized geometry, PBE.

Results
E = -8.470 eV/atom
space group = No. 65
DOS(E_F) = 5.52 states/eV/cell

a = 3.099 Å, b = 4.092 Å, c = 6.420 Å
α = 108.58°, β = 90.00°, γ = 90.00°
Fractional coordinates of all 6 atoms:
V1 0.000 0.337 0.674
V2 0.000 0.663 0.326
V3 0.500 0.164 0.328
V4 0.500 0.836 0.672
V5 0.500 0.500 0.000
S1 0.000 0.000 0.000

=====

Entry 5:
VS2: optimized geometry, PBE.

Results
E = -5.914 eV/atom
space group = No. 47
DOS(E_F) = 2.07 states/eV/cell

a = 3.688 Å, b = 3.738 Å, c = 5.096 Å
α = 90.00°, β = 90.00°, γ = 90.00°
Site moments in Bohr magnetons follow the coordinates.
Fractional coordinates of all 3 atoms:
S1 0.000 0.500 0.775  -0.13
S2 0.000 0.500 0.225  -0.13
V1 0.500 0.500 0.500  2.00

=====

Entry 6:
VS4: optimized geometry, PBE.

Results
E = -5.428 eV/atom
space group = No. 12
DOS(E_F) = 1.70 states/eV/cell

a = 3.197 Å, b = 3.353 Å, c = 11.330 Å
α = 66.93°, β = 81.85°, γ = 61.53°
Site moments in Bohr magnetons follow the coordinates.
Fractional coordinates of all 5 atoms:
V1 0.000 0.000 0.000  0.72
S1 0.301 0.535 0.863  -0.04
S2 0.764 0.906 0.566  0.00
S3 0.236 0.094 0.434  0.00
S4 0.699 0.465 0.137  -0.04